Model i:
Nd2ThAg: optimized geometry, GGA-PBE.

Cell and atoms, written as POSCAR:
```
Nd2ThAg
1.0
3.701 0.000 0.000
0.000 3.701 0.000
0.000 0.000 8.678
Nd Th Ag
2 1 1
Direct
0.000 0.000 0.224
0.000 0.000 0.776
0.500 0.500 0.500
0.500 0.500 0.000
```

SG = No. 123



Model ii:
Nd2ThAg: optimized geometry, GGA-PBE.

Cell and atoms, written as POSCAR:
```
Nd2ThAg
1.0
3.121 -1.806 0.000
3.121 1.806 0.000
-2.067 0.000 10.891
Nd Th Ag
2 1 1
Direct
0.000 0.000 0.000
0.184 0.184 0.550
0.756 0.756 0.276
0.591 0.591 0.775
```

SG = No. 8



Decreasing stability: model i, model ii



Model i:
NdTh2Ag: optimized geometry, GGA-PBE.

Cell and atoms, written as POSCAR:
```
NdTh2Ag
1.0
0.000 3.853 3.853
3.853 0.000 3.853
3.853 3.853 0.000
Nd Th Ag
1 2 1
Direct
0.000 0.000 0.000
0.250 0.250 0.250
0.750 0.750 0.750
0.500 0.500 0.500
```

SG = No. 225



Model ii:
NdTh2Ag: optimized geometry, GGA-PBE.

Cell and atoms, written as POSCAR:
```
NdTh2Ag
1.0
3.630 0.000 0.000
0.000 3.630 0.000
0.000 0.000 9.150
Nd Th Ag
1 2 1
Direct
0.000 0.000 0.000
0.500 0.500 0.280
0.500 0.500 0.720
0.000 0.000 0.500
```

SG = No. 123



Decreasing stability: model ii, model i



Model i:
NdThAg4: optimized geometry, GGA-PBE.

Cell and atoms, written as POSCAR:
```
NdThAg4
1.0
0.000 4.087 4.087
4.087 0.000 4.087
4.087 4.087 0.000
Nd Th Ag
1 1 4
Direct
0.000 0.000 0.000
0.250 0.250 0.250
0.125 0.625 0.625
0.625 0.125 0.625
0.625 0.625 0.125
0.625 0.625 0.625
```

SG = No. 216



Model ii:
NdThAg4: optimized geometry, GGA-PBE.

Cell and atoms, written as POSCAR:
```
NdThAg4
1.0
3.439 0.000 0.000
0.000 4.861 0.000
0.000 0.000 8.449
Nd Th Ag
1 1 4
Direct
0.000 0.000 0.000
0.000 0.500 0.500
0.500 0.000 0.333
0.500 0.000 0.667
0.500 0.500 0.166
0.500 0.500 0.834
```

SG = No. 47



Decreasing stability: model ii, model i



Model i:
Nd3Tl2Ag: optimized geometry, GGA-PBE.

Cell and atoms, written as POSCAR:
```
Nd3Tl2Ag
1.0
5.452 0.000 0.000
-2.726 4.722 0.000
0.000 0.000 13.467
Nd Tl Ag
6 4 2
Direct
0.000 0.000 0.244
0.000 0.000 0.756
0.333 0.667 0.410
0.333 0.667 0.916
0.667 0.333 0.084
0.667 0.333 0.590
0.000 0.000 0.000
0.000 0.000 0.500
0.333 0.667 0.667
0.667 0.333 0.333
0.333 0.667 0.164
0.667 0.333 0.836
```

SG = No. 164



Model ii:
Nd3Tl2Ag: optimized geometry, GGA-PBE.

Cell and atoms, written as POSCAR:
```
Nd3Tl2Ag
1.0
8.068 -3.307 0.000
8.068 3.307 0.000
-1.535 0.000 6.443
Nd Tl Ag
6 4 2
Direct
0.142 0.858 0.750
0.228 0.441 0.410
0.441 0.228 0.910
0.559 0.772 0.090
0.772 0.559 0.590
0.858 0.142 0.250
0.048 0.279 0.046
0.279 0.048 0.546
0.721 0.952 0.454
0.952 0.721 0.954
0.359 0.641 0.250
0.641 0.359 0.750
```

SG = No. 15



Decreasing stability: model i, model ii



Model i:
Nd6TlAg: optimized geometry, GGA-PBE.

Cell and atoms, written as POSCAR:
```
Nd6TlAg
1.0
-2.636 2.636 9.158
2.636 -2.636 9.158
2.636 2.636 -9.158
Nd Tl Ag
6 1 1
Direct
0.111 0.611 0.500
0.249 0.249 0.000
0.389 0.889 0.500
0.611 0.111 0.500
0.751 0.751 0.000
0.889 0.389 0.500
0.000 0.000 0.000
0.500 0.500 0.000
```

SG = No. 139



Model ii:
Nd6TlAg: optimized geometry, GGA-PBE.

Cell and atoms, written as POSCAR:
```
Nd6TlAg
1.0
6.308 0.000 0.000
-0.384 6.301 0.000
-0.374 -0.379 6.296
Nd Tl Ag
6 1 1
Direct
0.025 0.253 0.051
0.247 0.949 0.471
0.450 0.473 0.746
0.550 0.527 0.254
0.753 0.051 0.529
0.975 0.747 0.949
0.500 0.000 0.000
0.000 0.500 0.500
```

SG = No. 2



Decreasing stability: model i, model ii



Model i:
Nd4Tl2Ag: optimized geometry, GGA-PBE.

Cell and atoms, written as POSCAR:
```
Nd4Tl2Ag
1.0
2.703 1.561 8.767
-2.703 1.561 8.767
0.000 -3.122 8.767
Nd Tl Ag
4 2 1
Direct
0.124 0.124 0.124
0.375 0.375 0.375
0.625 0.625 0.625
0.876 0.876 0.876
0.251 0.251 0.251
0.749 0.749 0.749
0.500 0.500 0.500
```

SG = No. 166



Model ii:
Nd4Tl2Ag: optimized geometry, GGA-PBE.

Cell and atoms, written as POSCAR:
```
Nd4Tl2Ag
1.0
8.718 -1.859 0.000
8.718 1.859 0.000
-3.338 0.000 6.881
Nd Tl Ag
4 2 1
Direct
0.088 0.088 0.233
0.377 0.377 0.160
0.623 0.623 0.840
0.912 0.912 0.767
0.243 0.243 0.687
0.757 0.757 0.313
0.000 0.000 0.500
```

SG = No. 12



Decreasing stability: model i, model ii



Model i:
Nd2Tl2Ag: optimized geometry, GGA-PBE.

Cell and atoms, written as POSCAR:
```
Nd2Tl2Ag
1.0
5.768 -2.419 0.000
5.768 2.419 0.000
-4.764 0.000 10.166
Nd Tl Ag
4 4 2
Direct
0.029 0.029 0.344
0.173 0.173 0.099
0.827 0.827 0.901
0.971 0.971 0.656
0.358 0.358 0.417
0.463 0.463 0.123
0.537 0.537 0.877
0.642 0.642 0.583
0.280 0.280 0.661
0.720 0.720 0.339
```

SG = No. 12



Model ii:
Nd2Tl2Ag: optimized geometry, GGA-PBE.

Cell and atoms, written as POSCAR:
```
Nd2Tl2Ag
1.0
-2.162 3.441 4.808
2.162 -3.441 4.808
2.162 3.441 -4.808
Nd Tl Ag
2 2 1
Direct
0.222 0.222 0.000
0.778 0.778 0.000
0.223 0.500 0.723
0.777 0.500 0.277
0.500 0.000 0.500
```

SG = No. 71



Decreasing stability: model i, model ii



Model i:
Nd6Tl5Ag: optimized geometry, GGA-PBE.

Cell and atoms, written as POSCAR:
```
Nd6Tl5Ag
1.0
3.365 -5.897 0.000
3.365 5.897 0.000
-2.399 0.000 9.558
Nd Tl Ag
6 5 1
Direct
0.064 0.393 0.233
0.230 0.230 0.730
0.393 0.064 0.233
0.607 0.936 0.767
0.770 0.770 0.270
0.936 0.607 0.767
0.192 0.808 0.500
0.360 0.640 0.000
0.500 0.500 0.500
0.640 0.360 0.000
0.808 0.192 0.500
0.000 0.000 0.000
```

SG = No. 12



Model ii:
Nd6Tl5Ag: optimized geometry, GGA-PBE.

Cell and atoms, written as POSCAR:
```
Nd6Tl5Ag
1.0
2.747 -8.250 0.000
2.747 8.250 0.000
0.000 0.000 7.784
Nd Tl Ag
6 5 1
Direct
0.000 0.000 0.244
0.000 0.000 0.756
0.336 0.664 0.246
0.336 0.664 0.754
0.664 0.336 0.246
0.664 0.336 0.754
0.164 0.836 0.000
0.167 0.833 0.500
0.500 0.500 0.500
0.833 0.167 0.500
0.836 0.164 0.000
0.500 0.500 0.000
```

SG = No. 65



Decreasing stability: model ii, model i



Model i:
Nd8Tl2Ag: optimized geometry, GGA-PBE.

Cell and atoms, written as POSCAR:
```
Nd8Tl2Ag
1.0
9.282 -2.723 0.000
9.282 2.723 0.000
-0.440 0.000 6.952
Nd Tl Ag
8 2 1
Direct
0.030 0.030 0.263
0.211 0.211 0.101
0.332 0.332 0.593
0.409 0.409 0.088
0.591 0.591 0.912
0.668 0.668 0.407
0.789 0.789 0.899
0.970 0.970 0.737
0.155 0.155 0.654
0.845 0.845 0.346
0.500 0.500 0.500
```

SG = No. 12



Model ii:
Nd8Tl2Ag: optimized geometry, GGA-PBE.

Cell and atoms, written as POSCAR:
```
Nd8Tl2Ag
1.0
9.778 -2.657 0.000
9.778 2.657 0.000
-1.747 0.000 6.778
Nd Tl Ag
8 2 1
Direct
0.015 0.015 0.271
0.207 0.207 0.812
0.345 0.345 0.514
0.408 0.408 0.030
0.592 0.592 0.970
0.655 0.655 0.486
0.793 0.793 0.188
0.985 0.985 0.729
0.182 0.182 0.251
0.818 0.818 0.749
0.500 0.500 0.500
```

SG = No. 12



Decreasing stability: model i, model ii



Model i:
Nd3Tl3Ag2: optimized geometry, GGA-PBE.

Cell and atoms, written as POSCAR:
```
Nd3Tl3Ag2
1.0
8.051 0.000 0.000
-4.026 6.972 0.000
0.000 0.000 3.941
Nd Tl Ag
3 3 2
Direct
0.000 0.394 0.000
0.394 0.000 0.000
0.606 0.606 0.000
0.000 0.755 0.500
0.245 0.245 0.500
0.755 0.000 0.500
0.333 0.667 0.500
0.667 0.333 0.500
```

SG = No. 189



Model ii:
Nd3Tl3Ag2: optimized geometry, GGA-PBE.

Cell and atoms, written as POSCAR:
```
Nd3Tl3Ag2
1.0
9.449 -2.330 0.000
9.449 2.330 0.000
-1.329 0.000 4.844
Nd Tl Ag
3 3 2
Direct
0.000 0.000 0.000
0.142 0.142 0.642
0.858 0.858 0.358
0.360 0.360 0.860
0.500 0.500 0.500
0.640 0.640 0.140
0.245 0.245 0.244
0.755 0.755 0.756
```

SG = No. 12



Decreasing stability: model i, model ii



Model i:
Nd4TlAg3: optimized geometry, GGA-PBE.

Cell and atoms, written as POSCAR:
```
Nd4TlAg3
1.0
3.834 0.000 0.000
0.000 4.951 0.000
0.000 0.000 11.810
Nd Tl Ag
4 1 3
Direct
0.000 0.000 0.000
0.000 0.500 0.281
0.500 0.000 0.484
0.500 0.500 0.793
0.000 0.000 0.718
0.000 0.500 0.557
0.500 0.000 0.213
0.500 0.500 0.067
```

SG = No. 25



Model ii:
Nd4TlAg3: optimized geometry, GGA-PBE.

Cell and atoms, written as POSCAR:
```
Nd4TlAg3
1.0
2.685 1.550 8.767
-2.685 1.550 8.767
0.000 -3.100 8.767
Nd Tl Ag
4 1 3
Direct
0.121 0.121 0.121
0.372 0.372 0.372
0.628 0.628 0.628
0.879 0.879 0.879
0.500 0.500 0.500
0.000 0.000 0.000
0.247 0.247 0.247
0.753 0.753 0.753
```

SG = No. 166



Decreasing stability: model ii, model i



Model i:
Nd6Tl2Ag: optimized geometry, GGA-PBE.

Cell and atoms, written as POSCAR:
```
Nd6Tl2Ag
1.0
6.392 0.000 0.000
0.000 8.800 0.000
-5.553 0.000 10.267
Nd Tl Ag
12 4 2
Direct
0.077 0.158 0.450
0.077 0.342 0.950
0.341 0.698 0.440
0.341 0.802 0.940
0.408 0.046 0.275
0.408 0.454 0.775
0.592 0.546 0.225
0.592 0.954 0.725
0.659 0.198 0.060
0.659 0.302 0.560
0.923 0.658 0.050
0.923 0.842 0.550
0.168 0.119 0.760
0.168 0.381 0.260
0.832 0.619 0.740
0.832 0.881 0.240
0.000 0.000 0.000
0.000 0.500 0.500
```

SG = No. 14



Model ii:
Nd6Tl2Ag: optimized geometry, GGA-PBE.

Cell and atoms, written as POSCAR:
```
Nd6Tl2Ag
1.0
9.146 0.000 0.000
-4.573 7.921 0.000
0.000 0.000 3.850
Nd Tl Ag
6 2 1
Direct
0.000 0.396 0.000
0.000 0.734 0.500
0.266 0.266 0.500
0.396 0.000 0.000
0.604 0.604 0.000
0.734 0.000 0.500
0.333 0.667 0.500
0.667 0.333 0.500
0.000 0.000 0.000
```

SG = No. 189



Decreasing stability: model ii, model i